Entry w
Density functional theory data (PBE) for an optimized crystal structure of TlCd6.

Geometry as extended XYZ:
```
14
Lattice="7.970 0.000 0.000 0.000 7.970 0.000 0.000 0.000 7.970" Properties=species:S:1:pos:R:3 pbc="T T T"
Tl 0.000 0.000 0.000
Tl 3.985 3.985 3.985
Cd 0.000 1.992 3.985
Cd 0.000 3.985 1.992
Cd 0.000 3.985 5.977
Cd 0.000 5.977 3.985
Cd 1.992 0.000 3.985
Cd 1.992 3.985 0.000
Cd 3.985 0.000 1.992
Cd 3.985 0.000 5.977
Cd 3.985 1.992 0.000
Cd 3.985 5.977 0.000
Cd 5.977 0.000 3.985
Cd 5.977 3.985 0.000
```

SG = No. 229


Entry x
Density functional theory data (PBE) for an optimized crystal structure of TlCd6.

Geometry as extended XYZ:
```
7
Lattice="6.944 0.000 0.000 0.000 6.944 0.000 0.000 0.000 6.944" Properties=species:S:1:pos:R:3 pbc="T T T"
Tl 0.000 0.000 0.000
Cd 1.357 3.472 3.472
Cd 3.472 1.357 3.472
Cd 3.472 3.472 1.357
Cd 3.472 3.472 5.587
Cd 3.472 5.587 3.472
Cd 5.587 3.472 3.472
```

SG = No. 221


Entry y
Density functional theory data (PBE) for an optimized crystal structure of TlCd6.

Geometry as extended XYZ:
```
28
Lattice="9.216 0.000 0.000 0.000 6.166 0.000 0.000 0.000 12.287" Properties=species:S:1:pos:R:3 pbc="T T T"
Tl 2.172 1.541 0.758
Tl 2.436 4.624 6.902
Tl 6.780 1.541 5.385
Tl 7.044 4.624 11.529
Cd 0.550 0.088 3.800
Cd 0.550 2.994 3.800
Cd 0.670 4.624 1.019
Cd 0.967 1.541 6.413
Cd 1.304 4.624 10.439
Cd 1.708 1.541 9.473
Cd 2.900 4.624 3.330
Cd 3.304 1.541 4.295
Cd 3.641 4.624 0.269
Cd 3.938 1.541 7.163
Cd 4.058 3.171 9.944
Cd 4.058 6.077 9.944
Cd 5.157 0.088 2.344
Cd 5.157 2.994 2.344
Cd 5.278 4.624 5.124
Cd 5.575 1.541 12.018
Cd 5.912 4.624 7.992
Cd 6.316 1.541 8.958
Cd 7.507 4.624 2.814
Cd 7.912 1.541 1.849
Cd 8.249 4.624 5.875
Cd 8.546 1.541 11.268
Cd 8.666 3.171 8.487
Cd 8.666 6.077 8.487
```

SG = No. 62


It is entry y that is the most stable of them.


Entry w
Density functional theory data (PBE) for an optimized crystal structure of Tl4Cd.

Geometry as extended XYZ:
```
10
Lattice="4.405 0.000 0.000 0.000 4.405 0.000 0.000 0.000 16.951" Properties=species:S:1:pos:R:3 pbc="T T T"
Tl 0.000 0.000 1.594
Tl 0.000 0.000 15.357
Tl 0.000 2.202 4.238
Tl 0.000 2.202 12.713
Tl 2.202 0.000 4.238
Tl 2.202 0.000 12.713
Tl 2.202 2.202 6.882
Tl 2.202 2.202 10.069
Cd 0.000 0.000 8.476
Cd 2.202 2.202 0.000
```

SG = No. 139


Entry x
Density functional theory data (PBE) for an optimized crystal structure of Tl4Cd.

Geometry as extended XYZ:
```
10
Lattice="4.378 -7.626 0.000 4.378 7.626 0.000 -3.635 0.000 4.500" Properties=species:S:1:pos:R:3 pbc="T T T"
Tl 0.674 1.389 0.573
Tl -0.039 2.889 3.795
Tl -1.144 -1.389 2.823
Tl 3.343 2.889 2.956
Tl 1.778 -2.889 1.545
Tl 6.265 1.389 1.677
Tl 5.161 -2.889 0.706
Tl 4.448 -1.389 3.928
Cd 1.652 0.045 3.375
Cd 3.469 -0.045 1.125
```

SG = No. 15


Entry y
Density functional theory data (PBE) for an optimized crystal structure of Tl4Cd.

Geometry as extended XYZ:
```
10
Lattice="8.047 0.000 0.000 0.000 8.047 0.000 0.000 0.000 4.533" Properties=species:S:1:pos:R:3 pbc="T T T"
Tl 0.786 5.685 0.000
Tl 1.662 3.237 2.266
Tl 2.362 0.786 0.000
Tl 3.237 6.385 2.266
Tl 4.810 1.662 2.266
Tl 5.685 7.261 0.000
Tl 6.385 4.810 2.266
Tl 7.261 2.362 0.000
Cd 0.000 0.000 2.266
Cd 4.024 4.024 0.000
```

SG = No. 87


It is entry x that is the most stable of them.


Entry w
Density functional theory data (PBE) for an optimized crystal structure of Tl4Cd.

Geometry as extended XYZ:
```
10
Lattice="6.724 0.000 0.000 0.000 6.724 0.000 0.000 0.000 6.737" Properties=species:S:1:pos:R:3 pbc="T T T"
Tl 0.717 1.882 2.432
Tl 1.480 2.645 5.801
Tl 1.882 6.007 4.305
Tl 2.645 5.243 0.937
Tl 4.079 1.480 0.937
Tl 4.842 0.717 4.305
Tl 5.243 4.079 5.801
Tl 6.007 4.842 2.432
Cd 0.000 0.000 0.000
Cd 3.362 3.362 3.369
```

SG = No. 114


Entry x
Density functional theory data (PBE) for an optimized crystal structure of Tl4Cd.

Geometry as extended XYZ:
```
10
Lattice="3.505 0.000 0.000 0.000 3.505 0.000 0.000 0.000 23.820" Properties=species:S:1:pos:R:3 pbc="T T T"
Tl 0.000 0.000 2.169
Tl 0.000 0.000 7.222
Tl 0.000 0.000 16.598
Tl 0.000 0.000 21.651
Tl 1.753 1.753 4.688
Tl 1.753 1.753 9.741
Tl 1.753 1.753 14.079
Tl 1.753 1.753 19.132
Cd 0.000 0.000 11.910
Cd 1.753 1.753 0.000
```

SG = No. 139


It is entry x that is the most stable of them.


Entry w
Density functional theory data (PBE) for an optimized crystal structure of Tm6Tl5Cd.

Geometry as extended XYZ:
```
12
Lattice="2.658 -7.992 0.000 2.658 7.992 0.000 0.000 0.000 7.400" Properties=species:S:1:pos:R:3 pbc="T T T"
Tm 0.000 0.000 1.848
Tm 0.000 0.000 5.552
Tm 2.658 2.657 1.833
Tm 2.658 2.657 5.567
Tm 2.658 -2.657 1.833
Tm 2.658 -2.657 5.567
Tl 2.658 5.383 0.000
Tl 2.658 5.316 3.700
Tl 2.658 0.000 3.700
Tl 2.658 -5.316 3.700
Tl 2.658 -5.383 0.000
Cd 2.658 0.000 0.000
```

SG = No. 65


Entry x
Density functional theory data (PBE) for an optimized crystal structure of Tm6Tl5Cd.

Geometry as extended XYZ:
```
12
Lattice="3.185 -5.536 0.000 3.185 5.536 0.000 -2.149 0.000 9.536" Properties=species:S:1:pos:R:3 pbc="T T T"
Tm -0.030 1.834 7.131
Tm 1.036 0.000 2.384
Tm -0.030 -1.834 7.131
Tm 4.251 1.834 2.405
Tm 3.185 0.000 7.152
Tm 4.251 -1.834 2.405
Tl 3.185 3.667 0.000
Tl 2.110 1.829 4.768
Tl 3.185 0.000 0.000
Tl 2.110 -1.829 4.768
Tl 3.185 -3.667 0.000
Cd -1.075 0.000 4.768
```

SG = No. 12


It is entry w that is the most stable of them.


Entry w
Density functional theory data (PBE) for an optimized crystal structure of Tm8TlCd2.

Geometry as extended XYZ:
```
11
Lattice="8.048 -2.615 0.000 8.048 2.615 0.000 -4.277 0.000 7.237" Properties=species:S:1:pos:R:3 pbc="T T T"
Tm 0.128 0.000 1.590
Tm -0.678 0.000 4.966
Tm 2.758 0.000 3.976
Tm 6.359 0.000 0.303
Tm 5.461 0.000 6.933
Tm 9.062 0.000 3.261
Tm 12.497 0.000 2.271
Tm 11.692 0.000 5.647
Tl 5.910 0.000 3.618
Cd 3.115 0.000 0.822
Cd 8.704 0.000 6.415
```

SG = No. 12


Entry x
Density functional theory data (PBE) for an optimized crystal structure of Tm8TlCd2.

Geometry as extended XYZ:
```
11
Lattice="4.371 -7.245 0.000 4.371 7.245 0.000 -2.070 0.000 5.021" Properties=species:S:1:pos:R:3 pbc="T T T"
Tm 0.579 1.683 3.088
Tm 4.371 4.063 0.000
Tm 0.579 -1.683 3.088
Tm 3.062 0.000 0.990
Tm 3.611 0.000 4.032
Tm 6.094 1.683 1.933
Tm 4.371 -4.063 0.000
Tm 6.094 -1.683 1.933
Tl 0.000 0.000 0.000
Cd 3.336 2.829 2.511
Cd 3.336 -2.829 2.511
```

SG = No. 12


It is entry w that is the most stable of them.


Entry w
Density functional theory data (PBE) for an optimized crystal structure of Tm4Tl2Cd.

Geometry as extended XYZ:
```
14
Lattice="7.209 0.000 0.000 0.000 6.615 0.000 -3.285 0.000 8.319" Properties=species:S:1:pos:R:3 pbc="T T T"
Tm 0.389 1.654 0.390
Tm -1.220 0.042 6.033
Tm -1.220 3.266 6.033
Tm 1.082 4.961 2.849
Tm 2.842 1.654 5.470
Tm 5.144 3.349 2.286
Tm 5.144 6.573 2.286
Tm 3.535 4.961 7.929
Tl 0.118 1.654 3.680
Tl 2.948 4.961 0.374
Tl 0.976 1.654 7.946
Tl 3.806 4.961 4.639
Cd 1.247 4.961 5.937
Cd 2.677 1.654 2.382
```

SG = No. 11


Entry x
Density functional theory data (PBE) for an optimized crystal structure of Tm4Tl2Cd.

Geometry as extended XYZ:
```
7
Lattice="2.596 1.499 8.433 -2.596 1.499 8.433 0.000 -2.998 8.433" Properties=species:S:1:pos:R:3 pbc="T T T"
Tm 0.000 0.000 3.059
Tm 0.000 0.000 9.429
Tm 0.000 0.000 15.871
Tm 0.000 0.000 22.242
Tl 0.000 0.000 6.342
Tl 0.000 0.000 18.958
Cd 0.000 0.000 12.650
```

SG = No. 166


It is entry x that is the most stable of them.


Entry w
Density functional theory data (PBE) for an optimized crystal structure of Tm6Tl3Cd.

Geometry as extended XYZ:
```
10
Lattice="0.000 5.584 5.584 5.584 0.000 5.584 5.584 5.584 0.000" Properties=species:S:1:pos:R:3 pbc="T T T"
Tm 5.584 5.584 2.760
Tm 5.584 2.760 5.584
Tm 8.408 5.584 5.584
Tm 2.760 5.584 5.584
Tm 5.584 8.408 5.584
Tm 5.584 5.584 8.408
Tl 2.792 2.792 2.792
Tl 5.584 5.584 5.584
Tl 8.376 8.376 8.376
Cd 0.000 0.000 0.000
```

SG = No. 225


Entry x
Density functional theory data (PBE) for an optimized crystal structure of Tm6Tl3Cd.

Geometry as extended XYZ:
```
20
Lattice="9.306 0.000 0.000 0.000 5.289 0.000 -3.538 0.000 10.985" Properties=species:S:1:pos:R:3 pbc="T T T"
Tm -1.064 1.322 4.487
Tm 0.847 3.967 1.965
Tm 2.420 1.322 0.019
Tm 0.342 3.967 8.886
Tm 2.251 1.322 3.574
Tm 1.535 1.322 6.812
Tm 4.232 3.967 4.174
Tm 3.517 3.967 7.412
Tm 5.426 1.322 2.099
Tm 3.348 3.967 10.966
Tm 4.920 1.322 9.020
Tm 6.832 3.967 6.498
Tl -2.871 3.967 9.762
Tl -1.336 1.322 7.830
Tl 0.958 3.967 5.177
Tl 4.809 1.322 5.808
Tl 7.103 3.967 3.156
Tl 8.639 1.322 1.223
Cd 3.830 3.967 1.156
Cd 1.938 1.322 9.829
```

SG = No. 11


It is entry x that is the most stable of them.


Entry w
Density functional theory data (PBE) for an optimized crystal structure of Tm4Tl3Cd.

Geometry as extended XYZ:
```
8
Lattice="3.759 0.000 0.000 0.000 4.814 0.000 0.000 0.000 11.908" Properties=species:S:1:pos:R:3 pbc="T T T"
Tm 0.000 0.000 0.000
Tm 0.000 2.407 3.611
Tm 1.880 0.000 5.878
Tm 1.880 2.407 9.581
Tl 0.000 0.000 8.805
Tl 0.000 2.407 6.714
Tl 1.880 2.407 0.819
Cd 1.880 0.000 2.761
```

SG = No. 25


Entry x
Density functional theory data (PBE) for an optimized crystal structure of Tm4Tl3Cd.

Geometry as extended XYZ:
```
8
Lattice="3.735 0.000 0.000 0.000 3.735 0.000 0.000 0.000 14.986" Properties=species:S:1:pos:R:3 pbc="T T T"
Tm 0.000 0.000 1.795
Tm 0.000 0.000 5.579
Tm 0.000 0.000 9.407
Tm 0.000 0.000 13.191
Tl 1.868 1.868 3.670
Tl 1.868 1.868 7.493
Tl 1.868 1.868 11.316
Cd 1.868 1.868 0.000
```

SG = No. 123


It is entry x that is the most stable of them.


Entry w
Density functional theory data (PBE) for an optimized crystal structure of Tm4TlCd3.

Geometry as extended XYZ:
```
8
Lattice="3.710 0.000 0.000 0.000 3.710 0.000 0.000 0.000 14.833" Properties=species:S:1:pos:R:3 pbc="T T T"
Tm 0.000 0.000 1.838
Tm 0.000 0.000 5.493
Tm 0.000 0.000 9.339
Tm 0.000 0.000 12.994
Tl 1.855 1.855 7.416
Cd 1.855 1.855 0.000
Cd 1.855 1.855 3.639
Cd 1.855 1.855 11.194
```

SG = No. 123


Entry x
Density functional theory data (PBE) for an optimized crystal structure of Tm4TlCd3.

Geometry as extended XYZ:
```
8
Lattice="3.627 0.000 0.000 0.000 4.847 0.000 0.000 0.000 11.895" Properties=species:S:1:pos:R:3 pbc="T T T"
Tm 0.000 0.000 0.000
Tm 0.000 2.424 3.774
Tm 1.813 0.000 5.877
Tm 1.813 2.424 9.753
Tl 0.000 0.000 8.755
Cd 0.000 2.424 6.887
Cd 1.813 0.000 2.756
Cd 1.813 2.424 0.985
```

SG = No. 25


It is entry w that is the most stable of them.


Entry w
Density functional theory data (PBE) for an optimized crystal structure of Tm3TlCd.

Geometry as extended XYZ:
```
15
Lattice="7.425 0.000 0.000 0.000 7.425 0.000 0.000 0.000 7.425" Properties=species:S:1:pos:R:3 pbc="T T T"
Tm 0.000 0.000 0.000
Tm 1.944 1.944 1.944
Tm 1.944 1.944 5.481
Tm 1.944 5.481 1.944
Tm 1.944 5.481 5.481
Tm 5.481 1.944 1.944
Tm 5.481 1.944 5.481
Tm 5.481 5.481 1.944
Tm 5.481 5.481 5.481
Tl 0.000 0.000 3.712
Tl 0.000 3.712 0.000
Tl 3.712 0.000 0.000
Cd 0.000 3.712 3.712
Cd 3.712 0.000 3.712
Cd 3.712 3.712 0.000
```

SG = No. 221


Entry x
Density functional theory data (PBE) for an optimized crystal structure of Tm3TlCd.

Geometry as extended XYZ:
```
10
Lattice="2.513 -10.636 0.000 2.513 10.636 0.000 0.000 0.000 5.027" Properties=species:S:1:pos:R:3 pbc="T T T"
Tm 2.513 9.446 3.770
Tm 2.513 5.319 3.770
Tm 2.513 1.226 3.770
Tm 2.513 -1.226 1.257
Tm 2.513 -5.319 1.257
Tm 2.513 -9.446 1.257
Tl 2.513 3.295 1.257
Tl 2.513 -3.295 3.770
Cd 2.513 7.382 1.257
Cd 2.513 -7.382 3.770
```

SG = No. 63


It is entry x that is the most stable of them.